--- i ---
The following is a DFT calculation (GGA+U) of an optimized crystal structure of CoBAsO. Values from VASP.

Computed properties:
calculated density	5.91	g/cm3
total moment	3.0	μB/cell

```
&SYSTEM
  ibrav = 0, nat = 8, ntyp = 4
/
ATOMIC_SPECIES
As 74.92 As.upf
Co 58.93 Co.upf
O 16.00 O.upf
B 10.81 B.upf
CELL_PARAMETERS angstrom
-0.986 -2.716 1.295
0.608 -1.514 -2.713
8.386 -1.698 2.827
ATOMIC_POSITIONS crystal
As 0.000 0.500 0.293
Co 0.000 0.000 0.500
As 0.500 0.000 0.707
O 0.500 0.500 0.000
O 0.000 0.000 0.000
B 0.000 0.500 0.932
Co 0.500 0.500 0.500
B 0.500 0.000 0.068
```

--- ii ---
The following is a DFT calculation (GGA+U) of an optimized crystal structure of CoBAsO. Values from VASP.

Computed properties:
calculated density	4.84	g/cm3
total moment	4.3	μB/cell

```
&SYSTEM
  ibrav = 0, nat = 8, ntyp = 4
/
ATOMIC_SPECIES
O 16.00 O.upf
As 74.92 As.upf
B 10.81 B.upf
Co 58.93 Co.upf
CELL_PARAMETERS angstrom
3.267 0.000 0.000
0.000 7.776 0.000
0.000 0.000 4.344
ATOMIC_POSITIONS crystal
O 0.500 0.560 0.850
As 0.000 0.772 0.435
B 0.500 0.586 0.532
Co 0.000 0.089 0.438
O 0.500 0.440 0.350
As 0.000 0.228 0.935
B 0.500 0.414 0.032
Co 0.000 0.911 0.938
```

Most stable = ii

--- i ---
The following is a DFT calculation (GGA+U) of an optimized crystal structure of CoBAsO. Values from VASP.

Computed properties:
calculated density	5.86	g/cm3
total moment	3.9	μB/cell

```
&SYSTEM
  ibrav = 0, nat = 8, ntyp = 4
/
ATOMIC_SPECIES
O 16.00 O.upf
Co 58.93 Co.upf
As 74.92 As.upf
B 10.81 B.upf
CELL_PARAMETERS angstrom
-2.350 -1.020 0.149
2.471 -5.381 2.117
-0.475 1.868 5.303
ATOMIC_POSITIONS crystal
O 0.500 0.741 0.376
Co 0.500 0.043 0.575
As 0.000 0.321 0.340
Co 0.500 0.957 0.075
B 0.000 0.647 0.463
As 0.000 0.679 0.840
O 0.500 0.259 0.876
B 0.000 0.353 0.963
```

--- ii ---
The following is a DFT calculation (GGA+U) of an optimized crystal structure of CoBAsO. Values from VASP.

Computed properties:
calculated density	4.70	g/cm3
total moment	5.6	μB/cell

```
&SYSTEM
  ibrav = 0, nat = 8, ntyp = 4
/
ATOMIC_SPECIES
O 16.00 O.upf
Co 58.93 Co.upf
B 10.81 B.upf
As 74.92 As.upf
CELL_PARAMETERS angstrom
-0.542 2.187 2.819
-0.571 -2.867 2.115
8.515 -0.311 1.879
ATOMIC_POSITIONS crystal
O 0.750 0.250 0.000
Co 0.750 0.750 0.916
Co 0.250 0.250 0.084
B 0.250 0.750 0.500
As 0.250 0.250 0.647
As 0.750 0.750 0.353
B 0.750 0.250 0.500
O 0.250 0.750 0.000
```

Most stable = i